No. 1
# KCd2Os, optimized geometry, DFT GGA-PBE
# Density of states at the Fermi level   2.8 states/eV per cell
# Space group   No. 166
# E above lowest polymorph   0.105 eV per atom
data_KCd2Os
_symmetry_space_group_name_H-M 'P 1'
_symmetry_Int_Tables_number 1
_cell_length_a 10.9533
_cell_length_b 10.9533
_cell_length_c 10.9533
_cell_angle_alpha 15.69
_cell_angle_beta 15.69
_cell_angle_gamma 15.69
loop_
_symmetry_equiv_pos_as_xyz
'x,y,z'
loop_
_atom_site_label
_atom_site_type_symbol
_atom_site_fract_x
_atom_site_fract_y
_atom_site_fract_z
_atom_site_occupancy
Cd1 Cd 0.0114 0.0114 0.0114 1
Cd2 Cd 0.4886 0.4886 0.4886 1
K1 K 0.2500 0.2500 0.2500 1
Os1 Os 0.7500 0.7500 0.7500 1

---

No. 2
# KCd2Os, optimized geometry, DFT GGA-PBE
# Density of states at the Fermi level   2.7 states/eV per cell
# Space group   No. 35
# E above lowest polymorph   0.185 eV per atom
data_KCd2Os
_symmetry_space_group_name_H-M 'P 1'
_symmetry_Int_Tables_number 1
_cell_length_a 2.8981
_cell_length_b 2.8981
_cell_length_c 11.0338
_cell_angle_alpha 90.00
_cell_angle_beta 90.00
_cell_angle_gamma 115.99
loop_
_symmetry_equiv_pos_as_xyz
'x,y,z'
loop_
_atom_site_label
_atom_site_type_symbol
_atom_site_fract_x
_atom_site_fract_y
_atom_site_fract_z
_atom_site_occupancy
Cd1 Cd 0.0000 0.0000 0.9828 1
Cd2 Cd 0.5000 0.5000 0.2317 1
K1 K 0.0000 0.0000 0.5181 1
Os1 Os 0.5000 0.5000 0.7674 1

---

No. 3
# K2CdOs, optimized geometry, DFT GGA-PBE
# Density of states at the Fermi level   3.4 states/eV per cell
# Space group   No. 123
data_K2CdOs
_symmetry_space_group_name_H-M 'P 1'
_symmetry_Int_Tables_number 1
_cell_length_a 5.5386
_cell_length_b 4.1969
_cell_length_c 4.1969
_cell_angle_alpha 90.00
_cell_angle_beta 90.00
_cell_angle_gamma 90.00
loop_
_symmetry_equiv_pos_as_xyz
'x,y,z'
loop_
_atom_site_label
_atom_site_type_symbol
_atom_site_fract_x
_atom_site_fract_y
_atom_site_fract_z
_atom_site_occupancy
Cd1 Cd 0.5000 0.0000 0.5000 1
K1 K 0.0000 0.0000 0.0000 1
K2 K 0.0000 0.5000 0.5000 1
Os1 Os 0.5000 0.5000 0.0000 1

---

No. 4
# KCd2Os, optimized geometry, DFT GGA-PBE
# Density of states at the Fermi level   3.5 states/eV per cell
# Space group   No. 71
# E above lowest polymorph   0.196 eV per atom
data_KCd2Os
_symmetry_space_group_name_H-M 'P 1'
_symmetry_Int_Tables_number 1
_cell_length_a 7.0034
_cell_length_b 7.0034
_cell_length_c 7.0034
_cell_angle_alpha 157.62
_cell_angle_beta 130.46
_cell_angle_gamma 55.00
loop_
_symmetry_equiv_pos_as_xyz
'x,y,z'
loop_
_atom_site_label
_atom_site_type_symbol
_atom_site_fract_x
_atom_site_fract_y
_atom_site_fract_z
_atom_site_occupancy
Cd1 Cd 0.0500 0.0500 0.0000 1
Cd2 Cd 0.4500 0.4500 0.0000 1
K1 K 0.7500 0.2500 0.5000 1
Os1 Os 0.2500 0.7500 0.5000 1

---

No. 5
# KCd3Os, optimized geometry, DFT GGA-PBE
# Density of states at the Fermi level   2.7 states/eV per cell
# Space group   No. 221
# E above lowest polymorph   0.000 eV per atom
data_KCd3Os
_symmetry_space_group_name_H-M 'P 1'
_symmetry_Int_Tables_number 1
_cell_length_a 5.2949
_cell_length_b 5.2949
_cell_length_c 5.2949
_cell_angle_alpha 90.00
_cell_angle_beta 90.00
_cell_angle_gamma 90.00
loop_
_symmetry_equiv_pos_as_xyz
'x,y,z'
loop_
_atom_site_label
_atom_site_type_symbol
_atom_site_fract_x
_atom_site_fract_y
_atom_site_fract_z
_atom_site_occupancy
K1 K 0.5000 0.5000 0.5000 1
Os1 Os 0.0000 0.0000 0.0000 1
Cd1 Cd 0.0000 0.5000 0.0000 1
Cd2 Cd 0.0000 0.0000 0.5000 1
Cd3 Cd 0.5000 0.0000 0.0000 1

---

No. 6
# KCd4Os, optimized geometry, DFT GGA-PBE
# Density of states at the Fermi level   5.5 states/eV per cell
# Space group   No. 216
data_KCd4Os
_symmetry_space_group_name_H-M 'P 1'
_symmetry_Int_Tables_number 1
_cell_length_a 5.7620
_cell_length_b 5.7620
_cell_length_c 5.7620
_cell_angle_alpha 60.00
_cell_angle_beta 60.00
_cell_angle_gamma 60.00
loop_
_symmetry_equiv_pos_as_xyz
'x,y,z'
loop_
_atom_site_label
_atom_site_type_symbol
_atom_site_fract_x
_atom_site_fract_y
_atom_site_fract_z
_atom_site_occupancy
K1 K 0.7500 0.7500 0.7500 1
Cd1 Cd 0.8784 0.3739 0.3739 1
Cd2 Cd 0.3739 0.3739 0.8784 1
Cd3 Cd 0.3739 0.8784 0.3739 1
Cd4 Cd 0.3739 0.3739 0.3739 1
Os1 Os 0.0000 0.0000 0.0000 1

---

no.,total magnetization (μB/f.u.),DFT formation energy (eV/atom)
1,0.0,0.649
2,0.0,0.730
3,0.0,1.125
4,0.0,0.740
5,0.0,0.385
6,1.9,0.669